No. 1
A geometry-optimized SnPd2 structure. Source: OQMD via LeMat-Bulk, functional PBE.

Cell and atoms, written as POSCAR:
```
SnPd2
1.0
-3.0043 3.0043 2.9975
3.0043 -3.0043 2.9975
3.0043 3.0043 -2.9975
Sn Pd
2 4
direct
0.2500 0.2500 0.0000
0.7500 0.7500 0.0000
0.1599 0.6599 0.8198
0.3401 0.1599 0.5000
0.6599 0.8401 0.5000
0.8401 0.3401 0.1802
```

Properties
- Total DFT energy (no corrections): -5.11 eV per atom
- Crystal system: tetragonal
- SG: No. 140

***

No. 2
A geometry-optimized SnPd124 structure. Source: OQMD via LeMat-Bulk, functional PBE.

Cell and atoms, written as POSCAR:
```
SnPd124
1.0
0.0000 9.8067 9.8067
9.8067 0.0000 9.8067
9.8067 9.8067 0.0000
Sn Pd
1 124
direct
0.0000 0.0000 0.0000
0.0000 0.0000 0.2007
0.0000 0.0000 0.4002
0.0000 0.0000 0.5998
0.0000 0.0000 0.7993
0.0000 0.2001 0.2001
0.0000 0.1999 0.4000
0.0000 0.2001 0.5999
0.0000 0.2007 0.0000
0.0000 0.2007 0.7993
0.0000 0.4002 0.0000
0.0000 0.4000 0.1999
0.0000 0.4000 0.4000
0.0000 0.4002 0.5998
0.0000 0.4001 0.7999
0.0000 0.5998 0.0000
0.0000 0.5999 0.2001
0.0000 0.5998 0.4002
0.0000 0.6000 0.6000
0.0000 0.6000 0.8001
0.0000 0.7993 0.0000
0.0000 0.7993 0.2007
0.0000 0.7999 0.4001
0.0000 0.8001 0.6000
0.0000 0.7999 0.7999
0.2001 0.0000 0.2001
0.1999 0.0000 0.4000
0.2001 0.0000 0.5999
0.2001 0.2001 0.0000
0.2000 0.2000 0.2000
0.2000 0.2000 0.4001
0.2001 0.2001 0.5999
0.1999 0.4000 0.0000
0.2000 0.4001 0.2000
0.1999 0.4000 0.4000
0.2000 0.4001 0.5999
0.2000 0.4001 0.8000
0.2001 0.5999 0.0000
0.2001 0.5999 0.2001
0.2000 0.5999 0.4001
0.1998 0.6001 0.6001
0.2000 0.5999 0.8000
0.2000 0.8000 0.4001
0.2000 0.8000 0.5999
0.2007 0.0000 0.0000
0.2007 0.0000 0.7993
0.2005 0.2005 0.7995
0.2007 0.7993 0.0000
0.2005 0.7995 0.2005
0.2005 0.7995 0.7995
0.4002 0.0000 0.0000
0.4000 0.0000 0.1999
0.4000 0.0000 0.4000
0.4002 0.0000 0.5998
0.4001 0.0000 0.7999
0.4000 0.1999 0.0000
0.4001 0.2000 0.2000
0.4000 0.1999 0.4000
0.4001 0.2000 0.5999
0.4001 0.2000 0.8000
0.4000 0.4000 0.0000
0.4000 0.4000 0.1999
0.3999 0.3999 0.3999
0.4000 0.4000 0.6000
0.3999 0.3999 0.8002
0.4002 0.5998 0.0000
0.4001 0.5999 0.2000
0.4000 0.6000 0.4000
0.4000 0.6000 0.6000
0.4001 0.5999 0.8000
0.4001 0.7999 0.0000
0.4001 0.8000 0.2000
0.3999 0.8002 0.3999
0.4001 0.8000 0.5999
0.4001 0.7999 0.7999
0.5998 0.0000 0.0000
0.5999 0.0000 0.2001
0.5998 0.0000 0.4002
0.6000 0.0000 0.6000
0.6000 0.0000 0.8001
0.5999 0.2001 0.0000
0.5999 0.2001 0.2001
0.5999 0.2000 0.4001
0.6001 0.1998 0.6001
0.5999 0.2000 0.8000
0.5998 0.4002 0.0000
0.5999 0.4001 0.2000
0.6000 0.4000 0.4000
0.6000 0.4000 0.6000
0.5999 0.4001 0.8000
0.6000 0.6000 0.0000
0.6001 0.6001 0.1998
0.6000 0.6000 0.4000
0.6001 0.6001 0.6001
0.6000 0.6000 0.8001
0.6000 0.8001 0.0000
0.5999 0.8000 0.2000
0.5999 0.8000 0.4001
0.6000 0.8001 0.6000
0.5999 0.8000 0.8000
0.7993 0.0000 0.0000
0.7993 0.0000 0.2007
0.7993 0.2007 0.0000
0.7995 0.2005 0.2005
0.7995 0.2005 0.7995
0.7995 0.7995 0.2005
0.7999 0.0000 0.4001
0.8001 0.0000 0.6000
0.7999 0.0000 0.7999
0.8000 0.2000 0.4001
0.8000 0.2000 0.5999
0.7999 0.4001 0.0000
0.8000 0.4001 0.2000
0.8002 0.3999 0.3999
0.8000 0.4001 0.5999
0.7999 0.4001 0.7999
0.8001 0.6000 0.0000
0.8000 0.5999 0.2000
0.8000 0.5999 0.4001
0.8001 0.6000 0.6000
0.8000 0.5999 0.8000
0.7999 0.7999 0.0000
0.7999 0.7999 0.4001
0.8000 0.8000 0.5999
0.8000 0.8000 0.8000
```

Properties
- Total DFT energy (no corrections): -5.18 eV per atom
- Crystal system: cubic
- SG: No. 225

***

No. 3
A geometry-optimized Sn2Pd13 structure. Source: OQMD via LeMat-Bulk, functional PBE.

Cell and atoms, written as POSCAR:
```
Sn2Pd13
1.0
4.8596 0.0000 0.0000
-0.8511 6.2468 0.0000
-2.3704 -2.1571 7.7941
Sn Pd
2 13
direct
0.1978 0.4008 0.2654
0.8022 0.5992 0.7346
0.0000 0.0000 0.0000
0.0000 0.0000 0.3322
0.0000 0.0000 0.6678
0.2015 0.3962 0.5986
0.2021 0.3992 0.9336
0.3988 0.7994 0.1998
0.3994 0.8009 0.8669
0.3996 0.8027 0.5349
0.6004 0.1973 0.4651
0.6006 0.1991 0.1331
0.6012 0.2006 0.8002
0.7979 0.6008 0.0664
0.7985 0.6038 0.4014
```

Properties
- Total DFT energy (no corrections): -5.32 eV per atom
- Crystal system: triclinic
- SG: No. 2

***

No. 4
A geometry-optimized Sn2Pd7 structure. Source: OQMD via LeMat-Bulk, functional PBE.

Cell and atoms, written as POSCAR:
```
Sn2Pd7
1.0
2.9230 0.0000 0.0000
-1.4615 2.5314 0.0000
0.0000 0.0000 31.7097
Sn Pd
2 7
direct
0.3333 0.6667 0.2223
0.6667 0.3333 0.7777
0.0000 0.0000 0.2935
0.0000 0.0000 0.5000
0.0000 0.0000 0.7065
0.3333 0.6667 0.4323
0.3333 0.6667 0.6361
0.6667 0.3333 0.3639
0.6667 0.3333 0.5677
```

Properties
- Total DFT energy (no corrections): -4.87 eV per atom
- Crystal system: trigonal
- SG: No. 164